Entry 1:
The following is a DFT calculation (PBE) of a relaxed structure of ErVPd6.

Unit cell a=3.999 b=3.999 c=7.992 alpha=90.00 beta=90.00 gamma=90.00
Element x y z (fractional)
Er: 0.000 0.000 0.000
V: 0.000 0.000 0.500
Pd: 0.500 0.500 0.000
Pd: 0.500 0.500 0.500
Pd: 0.500 0.000 0.267
Pd: 0.500 0.000 0.733
Pd: 0.000 0.500 0.267
Pd: 0.000 0.500 0.733

Values from the calculation:
**Formation energy from the elements**: -0.571 eV/atom
**Total magnetization**: 0.6 μB/f.u.
**Energy**: -6.176 eV/atom

Entry 2:
The following is a DFT calculation (PBE) of a relaxed structure of YEr2Pd.

Unit cell a=3.413 b=3.413 c=11.081 alpha=81.14 beta=81.14 gamma=60.00
Element x y z (fractional)
Y: 0.500 0.500 0.500
Pd: 0.000 0.000 0.000
Er: 0.079 0.079 0.762
Er: 0.921 0.921 0.238

Values from the calculation:
**Polymorph energy (0 for the lowest one)**: 534 meV per atom
**Formation energy from the elements**: 0.047 eV/atom
**Total magnetization**: 0.0 μB/f.u.
**Energy**: -5.149 eV/atom

Entry 3:
The following is a DFT calculation (PBE) of a relaxed structure of Y2Er3Pd2.

Unit cell a=3.725 b=9.952 c=6.540 alpha=56.23 beta=73.52 gamma=89.97
Element x y z (fractional)
Y: 0.388 0.624 0.225
Y: 0.612 0.376 0.775
Er: 0.000 0.000 0.000
Er: 0.843 0.285 0.313
Er: 0.157 0.715 0.687
Pd: 0.641 0.929 0.719
Pd: 0.359 0.071 0.281

Values from the calculation:
**Polymorph energy (0 for the lowest one)**: 142 meV per atom
**Formation energy from the elements**: -0.403 eV/atom
**Total magnetization**: 0.0 μB/f.u.
**Energy**: -5.689 eV/atom

no.,N(E_F) (states/eV/atom)
1,0.46
2,0.79
3,1.24